Here is crystalline Ga3Ag2Au5 at its relaxed geometry from Alexandria. Energies are from PBE.

Cell: 8.3280 8.3280 5.4293 Å, 92.76 92.76 107.38°
Fractional coordinates of all 20 atoms:
1 Ga 0.0707 0.9293 0.7500
2 Ga 0.2225 0.4907 0.3876
3 Ga 0.4907 0.2225 0.8876
4 Ga 0.5093 0.7775 0.1124
5 Ga 0.7775 0.5093 0.6124
6 Ga 0.9293 0.0707 0.2500
7 Ag 0.1535 0.6076 0.8989
8 Ag 0.3924 0.8465 0.6011
9 Ag 0.6076 0.1535 0.3989
10 Ag 0.8465 0.3924 0.1011
11 Au 0.0484 0.7021 0.3815
12 Au 0.1769 0.2585 0.0047
13 Au 0.2585 0.1769 0.5047
14 Au 0.2979 0.9516 0.1185
15 Au 0.4660 0.5340 0.7500
16 Au 0.5340 0.4660 0.2500
17 Au 0.7021 0.0484 0.8815
18 Au 0.7415 0.8231 0.4953
19 Au 0.8231 0.7415 0.9953
20 Au 0.9516 0.2979 0.6185

## Properties
**Energy of formation**: -1.177 eV per formula unit
**Total magnetization**: 0.0 μB/f.u.
**DFT total energy**: -64.694 eV per cell